Computed, not measured: a relaxed Sn3P4O14 crystal at the PBE-GGA level of DFT.

Unit cell a=9.053 b=8.885 c=8.497 alpha=73.30 beta=90.00 gamma=90.00
Sites, in units of the cell vectors:
Sn1 0.580 0.259 0.365
Sn2 0.920 0.259 0.865
Sn3 0.080 0.741 0.135
Sn4 0.500 0.000 0.000
Sn5 0.420 0.741 0.635
Sn6 0.000 0.000 0.500
P1 0.696 0.871 0.337
P2 0.011 0.652 0.775
P3 0.489 0.652 0.275
P4 0.511 0.348 0.725
P5 0.989 0.348 0.225
P6 0.304 0.129 0.663
P7 0.804 0.871 0.837
P8 0.196 0.129 0.163
O1 0.576 0.218 0.874
O2 0.657 0.000 0.176
O3 0.105 0.120 0.016
O4 0.363 0.122 0.132
O5 0.843 0.000 0.676
O6 0.395 0.120 0.516
O7 0.343 0.000 0.824
O8 0.895 0.880 0.984
O9 0.637 0.878 0.868
O10 0.157 0.000 0.324
O11 0.605 0.880 0.484
O12 0.841 0.706 0.801
O13 0.102 0.645 0.928
O14 0.863 0.878 0.368
O15 0.076 0.782 0.626
O16 0.501 0.502 0.767
O17 0.659 0.706 0.301
O18 0.898 0.355 0.072
O19 0.424 0.782 0.126
O20 0.001 0.498 0.733
O21 0.999 0.502 0.267
O22 0.159 0.294 0.199
O23 0.602 0.355 0.572
O24 0.341 0.294 0.699
O25 0.499 0.498 0.233
O26 0.924 0.218 0.374
O27 0.137 0.122 0.632
O28 0.398 0.645 0.428

## Properties
The raw formation energy comes out at -1954 meV/atom. The calculation puts the raw total energy at -6.8620 eV/atom. The total magnetization comes out at 0.000 μB/atom.

---

Computed, not measured: a relaxed SnP2O6 crystal at the PBE-GGA level of DFT.

Unit cell a=8.216 b=8.216 c=11.299 alpha=64.70 beta=64.70 gamma=69.71
Sites, in units of the cell vectors:
Sn1 0.996 0.004 0.250
Sn2 0.000 0.500 0.500
Sn3 0.500 0.000 0.000
Sn4 0.004 0.996 0.750
P1 0.706 0.664 0.825
P2 0.300 0.714 0.959
P3 0.664 0.706 0.325
P4 0.286 0.700 0.541
P5 0.714 0.300 0.459
P6 0.336 0.294 0.675
P7 0.700 0.286 0.041
P8 0.294 0.336 0.175
O1 0.824 0.607 0.701
O2 0.305 0.789 0.058
O3 0.493 0.708 0.833
O4 0.824 0.741 0.339
O5 0.150 0.806 0.895
O6 0.789 0.305 0.558
O7 0.289 0.500 0.031
O8 0.194 0.850 0.605
O9 0.500 0.711 0.469
O10 0.607 0.824 0.201
O11 0.292 0.507 0.667
O12 0.259 0.176 0.161
O13 0.741 0.824 0.839
O14 0.708 0.493 0.333
O15 0.393 0.176 0.799
O16 0.500 0.289 0.531
O17 0.806 0.150 0.395
O18 0.711 0.500 0.969
O19 0.211 0.695 0.442
O20 0.850 0.194 0.105
O21 0.176 0.259 0.661
O22 0.507 0.292 0.167
O23 0.695 0.211 0.942
O24 0.176 0.393 0.299

## Properties
The raw formation energy comes out at -1953 meV/atom. The calculation puts the raw total energy at -6.9059 eV/atom. The total magnetization comes out at 0.000 μB/atom.